# 1
# Dy4PuHg5, optimized geometry, DFT PBE-GGA
data_Dy4PuHg5
_cell_length_a 3.712
_cell_length_b 3.712
_cell_length_c 18.793
_cell_angle_alpha 90.00
_cell_angle_beta 90.00
_cell_angle_gamma 90.00
_space_group_name_H-M_alt 'P 4/m m m'
_space_group_IT_number 123
_space_group_name_Hall '-P 4 2'
loop_
_atom_site_label
_atom_site_type_symbol
_atom_site_fract_x
_atom_site_fract_y
_atom_site_fract_z
Dy1 Dy 0.000 0.000 0.099
Dy2 Dy 0.000 0.000 0.298
Pu1 Pu 0.000 0.000 0.500
Hg1 Hg 0.500 0.500 0.000
Hg2 Hg 0.500 0.500 0.198
Hg3 Hg 0.500 0.500 0.392
# crystal system	tetragonal
# DOS at the Fermi energy	1.4577	states/eV/atom
# final energy	-3.829	eV/atom

***

# 2
# DyPu3Hg12, optimized geometry, DFT PBE-GGA
data_DyPu3Hg12
_cell_length_a 4.631
_cell_length_b 4.702
_cell_length_c 18.850
_cell_angle_alpha 90.00
_cell_angle_beta 90.00
_cell_angle_gamma 90.00
_space_group_name_H-M_alt 'P m m m'
_space_group_IT_number 47
loop_
_space_group_symop_operation_xyz
'x,y,z'
'-x,-y,-z'
'-x,-y,z'
'x,y,-z'
'x,-y,-z'
'-x,y,z'
'-x,y,-z'
'x,-y,z'
loop_
_atom_site_label
_atom_site_type_symbol
_atom_site_fract_x
_atom_site_fract_y
_atom_site_fract_z
Dy1 Dy 0.000 0.000 0.000
Pu1 Pu 0.000 0.000 0.247
Pu2 Pu 0.000 0.000 0.500
Hg1 Hg 0.000 0.500 0.121
Hg2 Hg 0.000 0.500 0.373
Hg3 Hg 0.500 0.000 0.121
Hg4 Hg 0.500 0.000 0.374
Hg5 Hg 0.500 0.500 0.000
Hg6 Hg 0.500 0.500 0.245
Hg7 Hg 0.500 0.500 0.500
# crystal system	orthorhombic
# DOS at the Fermi energy	3.0934	states/eV/atom
# final energy	-3.336	eV/atom

***

# 3
# DyPuHg, optimized geometry, DFT PBE-GGA
data_DyPuHg
_cell_length_a 5.2492
_cell_length_b 5.2492
_cell_length_c 3.3602
_cell_angle_alpha 90.00
_cell_angle_beta 90.00
_cell_angle_gamma 120.00
_space_group_name_H-M_alt 'P 3 m 1'
_space_group_IT_number 156
loop_
_space_group_symop_operation_xyz
'x,y,z'
'-y,x-y,z'
'-x+y,-x,z'
'-y,-x,z'
'-x+y,y,z'
'x,x-y,z'
loop_
_atom_site_label
_atom_site_type_symbol
_atom_site_fract_x
_atom_site_fract_y
_atom_site_fract_z
Dy1 Dy 0.0000 0.0000 0.0000
Pu1 Pu 0.6667 0.3333 0.5821
Hg1 Hg 0.3333 0.6667 0.2759
# energy relative to the lowest polymorph listed for this composition	0.093	eV/atom
# crystal system	trigonal
# DOS at the Fermi energy	2.7091	states/eV/atom

***

# 4
# Dy5PuHg4, optimized geometry, DFT PBE-GGA
data_Dy5PuHg4
_cell_length_a 3.663
_cell_length_b 3.663
_cell_length_c 19.714
_cell_angle_alpha 90.00
_cell_angle_beta 90.00
_cell_angle_gamma 90.00
_space_group_name_H-M_alt 'P 4/m m m'
_space_group_IT_number 123
_space_group_name_Hall '-P 4 2'
loop_
_atom_site_label
_atom_site_type_symbol
_atom_site_fract_x
_atom_site_fract_y
_atom_site_fract_z
Dy1 Dy 0.000 0.000 0.000
Dy2 Dy 0.000 0.000 0.192
Dy3 Dy 0.000 0.000 0.385
Pu1 Pu 0.500 0.500 0.500
Hg1 Hg 0.500 0.500 0.096
Hg2 Hg 0.500 0.500 0.291
# crystal system	tetragonal
# DOS at the Fermi energy	1.4025	states/eV/atom
# final energy	-4.193	eV/atom

***

# 5
# SmDyPuHg, optimized geometry, DFT PBE-GGA
data_SmDyPuHg
_cell_length_a 7.641
_cell_length_b 7.641
_cell_length_c 7.641
_cell_angle_alpha 90.00
_cell_angle_beta 90.00
_cell_angle_gamma 90.00
_space_group_name_H-M_alt 'F -4 3 m'
_space_group_IT_number 216
_space_group_name_Hall 'F -4 2 3'
loop_
_atom_site_label
_atom_site_type_symbol
_atom_site_fract_x
_atom_site_fract_y
_atom_site_fract_z
Sm1 Sm 0.000 0.000 0.000
Dy1 Dy 0.000 0.000 0.500
Pu1 Pu 0.250 0.250 0.250
Hg1 Hg 0.250 0.250 0.750
# crystal system	cubic
# DOS at the Fermi energy	3.8619	states/eV/atom
# final energy	-5.961	eV/atom

***

# 6
# DyPuThHg, optimized geometry, DFT PBE-GGA
data_DyPuThHg
_cell_length_a 7.591
_cell_length_b 7.591
_cell_length_c 7.591
_cell_angle_alpha 90.00
_cell_angle_beta 90.00
_cell_angle_gamma 90.00
_space_group_name_H-M_alt 'F -4 3 m'
_space_group_IT_number 216
_space_group_name_Hall 'F -4 2 3'
loop_
_atom_site_label
_atom_site_type_symbol
_atom_site_fract_x
_atom_site_fract_y
_atom_site_fract_z
Dy1 Dy 0.000 0.000 0.000
Pu1 Pu 0.250 0.250 0.750
Th1 Th 0.000 0.000 0.500
Hg1 Hg 0.250 0.250 0.250
# crystal system	cubic
# DOS at the Fermi energy	4.4821	states/eV/atom
# final energy	-6.615	eV/atom

***

# 7
# Dy2PuTlHg4, optimized geometry, DFT PBE-GGA
data_Dy2PuTlHg4
_cell_length_a 5.2102
_cell_length_b 5.2102
_cell_length_c 26.4997
_cell_angle_alpha 90.00
_cell_angle_beta 90.00
_cell_angle_gamma 120.00
_space_group_name_H-M_alt 'R -3 m'
_space_group_IT_number 166
_space_group_name_Hall '-R 3 2"'
loop_
_atom_site_label
_atom_site_type_symbol
_atom_site_fract_x
_atom_site_fract_y
_atom_site_fract_z
Dy1 Dy 0.0000 0.0000 0.2448
Pu1 Pu 0.0000 0.0000 0.0000
Tl1 Tl 0.0000 0.0000 0.5000
Hg1 Hg 0.0000 0.0000 0.1210
Hg2 Hg 0.0000 0.0000 0.3712
# crystal system	trigonal
# DOS at the Fermi energy	1.4421	states/eV/atom
# final energy	-3.654	eV/atom

***

# 8
# RbDyHg, optimized geometry, DFT PBE-GGA
data_RbDyHg
_cell_length_a 17.289
_cell_length_b 3.975
_cell_length_c 6.877
_cell_angle_alpha 90.00
_cell_angle_beta 90.00
_cell_angle_gamma 90.00
_space_group_name_H-M_alt 'A m m 2'
_space_group_IT_number 38
loop_
_space_group_symop_operation_xyz
'x,y,z'
'-x,-y,z'
'-x,y,z'
'x,-y,z'
'x,y+1/2,z+1/2'
'-x,-y+1/2,z+1/2'
'-x,y+1/2,z+1/2'
'x,-y+1/2,z+1/2'
loop_
_atom_site_label
_atom_site_type_symbol
_atom_site_fract_x
_atom_site_fract_y
_atom_site_fract_z
Rb1 Rb 0.170 0.000 0.000
Dy1 Dy 0.381 0.000 0.666
Hg1 Hg 0.000 0.000 0.665
Hg2 Hg 0.500 0.000 0.000
# crystal system	orthorhombic
# DOS at the Fermi energy	0.7472	states/eV/atom
# final energy	-1.874	eV/atom

***

# 9
# RbDy2HgSe4, optimized geometry, DFT PBE-GGA
data_RbDy2HgSe4
_cell_length_a 4.253
_cell_length_b 14.415
_cell_length_c 15.473
_cell_angle_alpha 90.00
_cell_angle_beta 90.00
_cell_angle_gamma 90.00
_space_group_name_H-M_alt 'C m c m'
_space_group_IT_number 63
_space_group_name_Hall '-C 2c 2'
loop_
_atom_site_label
_atom_site_type_symbol
_atom_site_fract_x
_atom_site_fract_y
_atom_site_fract_z
Rb1 Rb 0.000 0.126 0.250
Dy1 Dy 0.000 0.376 0.063
Hg1 Hg 0.000 0.172 0.750
Se1 Se 0.000 0.000 0.000
Se2 Se 0.000 0.258 0.592
Se3 Se 0.000 0.448 0.250
# uncorrected formation energy	-1.276	eV/atom
# crystal system	orthorhombic
# DOS at the Fermi energy	0.4984	states/eV/atom

***

# 10
# RbDyHgSe3, optimized geometry, DFT PBE-GGA
data_RbDyHgSe3
_cell_length_a 9.137
_cell_length_b 4.286
_cell_length_c 10.433
_cell_angle_alpha 90.00
_cell_angle_beta 108.93
_cell_angle_gamma 90.00
_space_group_name_H-M_alt 'P 1 21/m 1'
_space_group_IT_number 11
loop_
_space_group_symop_operation_xyz
'x,y,z'
'-x,-y,-z'
'-x,y+1/2,-z'
'x,-y+1/2,z'
loop_
_atom_site_label
_atom_site_type_symbol
_atom_site_fract_x
_atom_site_fract_y
_atom_site_fract_z
Rb1 Rb 0.221 0.250 0.247
Dy1 Dy 0.329 0.750 0.865
Hg1 Hg 0.089 0.250 0.615
Se1 Se 0.111 0.250 0.872
Se2 Se 0.236 0.750 0.551
Se3 Se 0.466 0.750 0.148
# uncorrected formation energy	-1.198	eV/atom
# crystal system	monoclinic

***

# 11
# Rb2DyHg2Se4, optimized geometry, DFT PBE-GGA
data_Rb2DyHg2Se4
_cell_length_a 16.737
_cell_length_b 4.235
_cell_length_c 8.581
_cell_angle_alpha 90.00
_cell_angle_beta 113.29
_cell_angle_gamma 90.00
_space_group_name_H-M_alt 'C 1 2/m 1'
_space_group_IT_number 12
loop_
_space_group_symop_operation_xyz
'x,y,z'
'-x,-y,-z'
'-x,y,-z'
'x,-y,z'
'x+1/2,y+1/2,z'
'-x+1/2,-y+1/2,-z'
'-x+1/2,y+1/2,-z'
'x+1/2,-y+1/2,z'
loop_
_atom_site_label
_atom_site_type_symbol
_atom_site_fract_x
_atom_site_fract_y
_atom_site_fract_z
Rb1 Rb 0.127 0.000 0.070
Dy1 Dy 0.000 0.000 0.500
Hg1 Hg 0.189 0.500 0.519
Se1 Se 0.021 0.500 0.282
Se2 Se 0.184 0.000 0.724
# uncorrected formation energy	-0.973	eV/atom
# crystal system	monoclinic
# DOS at the Fermi energy	0.4206	states/eV/atom

***

# 12
# RbDyHgTe3, optimized geometry, DFT PBE-GGA
data_RbDyHgTe3
_cell_length_a 9.670
_cell_length_b 4.535
_cell_length_c 11.031
_cell_angle_alpha 90.00
_cell_angle_beta 109.13
_cell_angle_gamma 90.00
_space_group_name_H-M_alt 'P 1 21/m 1'
_space_group_IT_number 11
loop_
_space_group_symop_operation_xyz
'x,y,z'
'-x,-y,-z'
'-x,y+1/2,-z'
'x,-y+1/2,z'
loop_
_atom_site_label
_atom_site_type_symbol
_atom_site_fract_x
_atom_site_fract_y
_atom_site_fract_z
Rb1 Rb 0.222 0.250 0.256
Dy1 Dy 0.326 0.750 0.863
Hg1 Hg 0.086 0.250 0.615
Te1 Te 0.104 0.250 0.874
Te2 Te 0.237 0.750 0.551
Te3 Te 0.464 0.750 0.154
# uncorrected formation energy	-0.953	eV/atom
# crystal system	monoclinic

***

# 13
# Rb2DyHg2Te4, optimized geometry, DFT PBE-GGA
data_Rb2DyHg2Te4
_cell_length_a 17.644
_cell_length_b 4.518
_cell_length_c 9.007
_cell_angle_alpha 90.00
_cell_angle_beta 113.25
_cell_angle_gamma 90.00
_space_group_name_H-M_alt 'C 1 2/m 1'
_space_group_IT_number 12
loop_
_space_group_symop_operation_xyz
'x,y,z'
'-x,-y,-z'
'-x,y,-z'
'x,-y,z'
'x+1/2,y+1/2,z'
'-x+1/2,-y+1/2,-z'
'-x+1/2,y+1/2,-z'
'x+1/2,-y+1/2,z'
loop_
_atom_site_label
_atom_site_type_symbol
_atom_site_fract_x
_atom_site_fract_y
_atom_site_fract_z
Rb1 Rb 0.129 0.000 0.081
Dy1 Dy 0.000 0.000 0.500
Hg1 Hg 0.187 0.500 0.506
Te1 Te 0.016 0.500 0.272
Te2 Te 0.186 0.000 0.721
# uncorrected formation energy	-0.787	eV/atom
# crystal system	monoclinic
# DOS at the Fermi energy	0.4317	states/eV/atom

***

# 14
# Dy4ReHg, optimized geometry, DFT PBE-GGA
data_Dy4ReHg
_cell_length_a 8.514
_cell_length_b 12.803
_cell_length_c 6.266
_cell_angle_alpha 90.00
_cell_angle_beta 105.77
_cell_angle_gamma 90.00
_space_group_name_H-M_alt 'C 1 2/c 1'
_space_group_IT_number 15
loop_
_space_group_symop_operation_xyz
'x,y,z'
'-x,-y,-z'
'-x,y,-z+1/2'
'x,-y,z+1/2'
'x+1/2,y+1/2,z'
'-x+1/2,-y+1/2,-z'
'-x+1/2,y+1/2,-z+1/2'
'x+1/2,-y+1/2,z+1/2'
loop_
_atom_site_label
_atom_site_type_symbol
_atom_site_fract_x
_atom_site_fract_y
_atom_site_fract_z
Dy1 Dy 0.106 0.171 0.042
Dy2 Dy 0.218 0.422 0.404
Re1 Re 0.000 0.001 0.250
Hg1 Hg 0.000 0.373 0.750
# crystal system	monoclinic
# DOS at the Fermi energy	0.7578	states/eV/atom
# final energy	-5.402	eV/atom

***

# 15
# Dy7HgRh4, optimized geometry, DFT PBE-GGA
data_Dy7HgRh4
_cell_length_a 13.573
_cell_length_b 5.489
_cell_length_c 9.594
_cell_angle_alpha 90.00
_cell_angle_beta 125.16
_cell_angle_gamma 90.00
_space_group_name_H-M_alt 'C 1 2/m 1'
_space_group_IT_number 12
loop_
_space_group_symop_operation_xyz
'x,y,z'
'-x,-y,-z'
'-x,y,-z'
'x,-y,z'
'x+1/2,y+1/2,z'
'-x+1/2,-y+1/2,-z'
'-x+1/2,y+1/2,-z'
'x+1/2,-y+1/2,z'
loop_
_atom_site_label
_atom_site_type_symbol
_atom_site_fract_x
_atom_site_fract_y
_atom_site_fract_z
Dy1 Dy 0.000 0.000 0.000
Dy2 Dy 0.076 0.500 0.369
Dy3 Dy 0.176 0.000 0.624
Dy4 Dy 0.211 0.500 0.878
Hg1 Hg 0.000 0.500 0.000
Rh1 Rh 0.067 0.000 0.778
Rh2 Rh 0.204 0.000 0.344
# crystal system	monoclinic
# DOS at the Fermi energy	0.6066	states/eV/atom
# final energy	-5.655	eV/atom

***

# 16
# Dy5HgRh, optimized geometry, DFT PBE-GGA
data_Dy5HgRh
_cell_length_a 9.270
_cell_length_b 7.312
_cell_length_c 11.855
_cell_angle_alpha 90.00
_cell_angle_beta 105.49
_cell_angle_gamma 90.00
_space_group_name_H-M_alt 'C 1 2/c 1'
_space_group_IT_number 15
loop_
_space_group_symop_operation_xyz
'x,y,z'
'-x,-y,-z'
'-x,y,-z+1/2'
'x,-y,z+1/2'
'x+1/2,y+1/2,z'
'-x+1/2,-y+1/2,-z'
'-x+1/2,y+1/2,-z+1/2'
'x+1/2,-y+1/2,z+1/2'
loop_
_atom_site_label
_atom_site_type_symbol
_atom_site_fract_x
_atom_site_fract_y
_atom_site_fract_z
Dy1 Dy 0.000 0.009 0.250
Dy2 Dy 0.123 0.335 0.567
Dy3 Dy 0.249 0.331 0.874
Hg1 Hg 0.000 0.418 0.250
Rh1 Rh 0.000 0.000 0.000
# crystal system	monoclinic
# DOS at the Fermi energy	1.0003	states/eV/atom
# final energy	-4.676	eV/atom

***

# 17
# Dy12HgRh6, optimized geometry, DFT PBE-GGA
data_Dy12HgRh6
_cell_length_a 9.857
_cell_length_b 9.857
_cell_length_c 9.857
_cell_angle_alpha 90.00
_cell_angle_beta 90.00
_cell_angle_gamma 90.00
_space_group_name_H-M_alt 'I m -3'
_space_group_IT_number 204
_space_group_name_Hall '-I 2 2 3'
loop_
_atom_site_label
_atom_site_type_symbol
_atom_site_fract_x
_atom_site_fract_y
_atom_site_fract_z
Dy1 Dy 0.000 0.189 0.300
Hg1 Hg 0.000 0.000 0.000
Rh1 Rh 0.000 0.369 0.500
# crystal system	cubic
# DOS at the Fermi energy	1.0583	states/eV/atom
# final energy	-5.835	eV/atom

***

# 18
# Dy6HgRh3, optimized geometry, DFT PBE-GGA
data_Dy6HgRh3
_cell_length_a 11.636
_cell_length_b 4.103
_cell_length_c 11.705
_cell_angle_alpha 90.00
_cell_angle_beta 108.77
_cell_angle_gamma 90.00
_space_group_name_H-M_alt 'P 1 21/m 1'
_space_group_IT_number 11
loop_
_space_group_symop_operation_xyz
'x,y,z'
'-x,-y,-z'
'-x,y+1/2,-z'
'x,-y+1/2,z'
loop_
_atom_site_label
_atom_site_type_symbol
_atom_site_fract_x
_atom_site_fract_y
_atom_site_fract_z
Dy1 Dy 0.040 0.250 0.406
Dy2 Dy 0.114 0.250 0.970
Dy3 Dy 0.199 0.750 0.269
Dy4 Dy 0.256 0.750 0.783
Dy5 Dy 0.363 0.250 0.554
Dy6 Dy 0.444 0.750 0.105
Hg1 Hg 0.426 0.250 0.306
Rh1 Rh 0.026 0.250 0.171
Rh2 Rh 0.191 0.750 0.521
Rh3 Rh 0.341 0.250 0.944
# crystal system	monoclinic
# DOS at the Fermi energy	0.5170	states/eV/atom
# final energy	-5.615	eV/atom

***

# 19
# Dy4Hg3Rh, optimized geometry, DFT PBE-GGA
data_Dy4Hg3Rh
_cell_length_a 3.602
_cell_length_b 3.602
_cell_length_c 14.971
_cell_angle_alpha 90.00
_cell_angle_beta 90.00
_cell_angle_gamma 90.00
_space_group_name_H-M_alt 'P 4/m m m'
_space_group_IT_number 123
_space_group_name_Hall '-P 4 2'
loop_
_atom_site_label
_atom_site_type_symbol
_atom_site_fract_x
_atom_site_fract_y
_atom_site_fract_z
Dy1 Dy 0.000 0.000 0.108
Dy2 Dy 0.000 0.000 0.371
Hg1 Hg 0.500 0.500 0.244
Hg2 Hg 0.500 0.500 0.500
Rh1 Rh 0.500 0.500 0.000
# crystal system	tetragonal
# DOS at the Fermi energy	0.6908	states/eV/atom
# final energy	-3.913	eV/atom

***

# 20
# Dy4Hg5Rh2, optimized geometry, DFT PBE-GGA
data_Dy4Hg5Rh2
_cell_length_a 7.707
_cell_length_b 3.606
_cell_length_c 9.479
_cell_angle_alpha 90.00
_cell_angle_beta 94.54
_cell_angle_gamma 90.00
_space_group_name_H-M_alt 'P 1 2/m 1'
_space_group_IT_number 10
loop_
_space_group_symop_operation_xyz
'x,y,z'
'-x,-y,-z'
'-x,y,-z'
'x,-y,z'
loop_
_atom_site_label
_atom_site_type_symbol
_atom_site_fract_x
_atom_site_fract_y
_atom_site_fract_z
Dy1 Dy 0.180 0.000 0.350
Dy2 Dy 0.217 0.000 0.938
Hg1 Hg 0.169 0.500 0.644
Hg2 Hg 0.457 0.500 0.167
Hg3 Hg 0.500 0.500 0.500
Rh1 Rh 0.079 0.500 0.141
# crystal system	monoclinic
# DOS at the Fermi energy	0.5209	states/eV/atom
# final energy	-3.729	eV/atom

***

# 21
# Dy6Hg3Rh, optimized geometry, DFT PBE-GGA
data_Dy6Hg3Rh
_cell_length_a 9.021
_cell_length_b 5.276
_cell_length_c 11.335
_cell_angle_alpha 90.00
_cell_angle_beta 107.88
_cell_angle_gamma 90.00
_space_group_name_H-M_alt 'P 1 21/m 1'
_space_group_IT_number 11
loop_
_space_group_symop_operation_xyz
'x,y,z'
'-x,-y,-z'
'-x,y+1/2,-z'
'x,-y+1/2,z'
loop_
_atom_site_label
_atom_site_type_symbol
_atom_site_fract_x
_atom_site_fract_y
_atom_site_fract_z
Dy1 Dy 0.027 0.250 0.410
Dy2 Dy 0.177 0.750 0.166
Dy3 Dy 0.272 0.250 0.999
Dy4 Dy 0.353 0.750 0.836
Dy5 Dy 0.376 0.250 0.347
Dy6 Dy 0.389 0.250 0.645
Hg1 Hg 0.007 0.750 0.871
Hg2 Hg 0.091 0.250 0.714
Hg3 Hg 0.279 0.750 0.475
Rh1 Rh 0.456 0.750 0.098
# energy relative to the lowest polymorph listed for this composition	0.000	eV/atom
# crystal system	monoclinic
# DOS at the Fermi energy	0.7094	states/eV/atom